Entry 1:
First-principles (meta-GGA SCAN) data for Ag2HPt2 at its PBEsol-relaxed geometry, as listed in Alexandria.

- electronic total energy (eV/atom) = -41.252
- V (Å³/cell) = 137.9

CIF file:
```
data_Ag2HPt2
_chemical_formula_sum 'Ag4 H2 Pt4'
_cell_length_a 5.303
_cell_length_b 5.303
_cell_length_c 4.905
_cell_angle_alpha 90.00
_cell_angle_beta 90.00
_cell_angle_gamma 90.00
_symmetry_space_group_name_H-M 'P 4/m b m'
_symmetry_Int_Tables_number 127
_symmetry_space_group_name_Hall '-P 4 2ab'
loop_
_atom_site_label
_atom_site_type_symbol
_atom_site_fract_x
_atom_site_fract_y
_atom_site_fract_z
Ag1 Ag 0.175 0.325 0.000
H1 H 0.000 0.000 0.500
Pt1 Pt 0.177 0.677 0.500
```


Entry 2:
First-principles (meta-GGA SCAN) data for AgHPt2 at its PBEsol-relaxed geometry, as listed in Alexandria.

- electronic total energy (eV/atom) = -43.017
- V (Å³/cell) = 216.5

CIF file:
```
data_AgHPt2
_chemical_formula_sum 'Ag4 H4 Pt8'
_cell_length_a 6.004
_cell_length_b 6.004
_cell_length_c 6.004
_cell_angle_alpha 90.00
_cell_angle_beta 90.00
_cell_angle_gamma 90.00
_symmetry_space_group_name_H-M 'F m -3 m'
_symmetry_Int_Tables_number 225
_symmetry_space_group_name_Hall '-F 4 2 3'
loop_
_atom_site_label
_atom_site_type_symbol
_atom_site_fract_x
_atom_site_fract_y
_atom_site_fract_z
Ag1 Ag 0.000 0.000 0.000
H1 H 0.000 0.000 0.500
Pt1 Pt 0.250 0.250 0.250
```